Entry from the Alexandria database: crystalline TiP2SF at its relaxed geometry (PBE).

The structure in extended XYZ format:
```
5
Lattice="-3.654 -2.548 1.465 -0.155 -2.167 -4.155 2.833 -3.173 1.549" Properties=species:S:1:pos:R:3 pbc="T T T"
P -0.078 -1.083 -2.078
P -1.827 -1.274 0.732
S 1.417 -1.586 0.774
F -0.488 -3.944 -0.571
Ti 0.000 0.000 0.000
```

Calculated values
* calculated total energy: -5.00 eV/atom
* symmetry: P4/mmm (123)
* ΔE_f (raw): -0.3 eV/f.u.
* volume: 99.53 Å³/f.u.
* E above lowest polymorph: 0 meV/atom

***

Entry from the Alexandria database: crystalline TiPS2F at its relaxed geometry (PBE).

The structure in extended XYZ format:
```
5
Lattice="4.554 0.000 0.000 0.000 4.554 0.000 0.000 0.000 4.830" Properties=species:S:1:pos:R:3 pbc="T T T"
P 0.000 0.000 2.415
S 0.000 2.277 0.000
S 2.277 0.000 0.000
F 2.277 2.277 2.415
Ti 0.000 0.000 0.000
```

Calculated values
* calculated total energy: -4.88 eV/atom
* symmetry: P4/mmm (123)
* ΔE_f (raw): -1.0 eV/f.u.
* volume: 100.17 Å³/f.u.
* E above lowest polymorph: 0 meV/atom

***

Entry from the Alexandria database: crystalline TiP2SF at its relaxed geometry (PBE).

The structure in extended XYZ format:
```
5
Lattice="3.949 0.000 0.000 0.000 3.949 0.000 0.000 0.000 5.169" Properties=species:S:1:pos:R:3 pbc="T T T"
P 0.000 1.974 0.000
P 1.974 0.000 0.000
S 0.000 0.000 2.585
F 0.000 0.000 0.000
Ti 1.974 1.974 2.585
```

Calculated values
* calculated total energy: -4.69 eV/atom
* symmetry: P4/mmm (123)
* ΔE_f (raw): 1.3 eV/f.u.
* volume: 80.61 Å³/f.u.
* E above lowest polymorph: 305 meV/atom

***

Entry from the Alexandria database: crystalline Tl5PS4F2 at its relaxed geometry (PBE).

The structure in extended XYZ format:
```
12
Lattice="-2.036 -6.760 -2.955 5.944 1.649 2.045 -1.864 -2.791 7.669" Properties=species:S:1:pos:R:3 pbc="T T T"
Tl 1.520 -0.849 2.511
Tl -1.552 -3.453 2.935
Tl 0.656 -2.143 6.066
Tl 0.855 -5.951 4.729
Tl 1.719 -4.657 1.174
P -0.824 -2.735 -1.196
S -1.514 -4.337 -0.096
S -2.623 -5.998 4.467
S 1.068 -2.222 -0.549
S 3.869 0.531 1.134
F 0.183 -7.069 2.041
F 1.019 -3.625 3.497
```

Calculated values
* calculated total energy: -3.95 eV/atom
* symmetry: Amm2 (38)
* ΔE_f (raw): -9.9 eV/f.u.
* volume: 336.46 Å³/f.u.

***

Entry from the Alexandria database: crystalline Tl2PSF5 at its relaxed geometry (PBE).

The structure in extended XYZ format:
```
9
Lattice="-0.240 -6.254 -1.695 5.608 3.254 0.093 -0.886 1.862 6.148" Properties=species:S:1:pos:R:3 pbc="T T T"
Tl 0.607 -0.928 3.773
Tl 3.854 -0.232 0.745
P 4.719 5.113 6.237
S 3.654 3.959 4.830
F 0.851 -1.317 0.610
F 3.748 0.306 4.091
F 4.454 3.058 1.302
F 0.386 2.186 5.094
F 0.856 0.928 1.132
```

Calculated values
* calculated total energy: -4.51 eV/atom
* symmetry: I4mm (107)
* ΔE_f (raw): -16.9 eV/f.u.
* volume: 188.77 Å³/f.u.